Record 1
CaPm2PrAs4: optimized geometry, PBE-GGA.

The space group is I4/mmm (No. 139) and the conventional cell measures 6.016, 6.016 and 12.069 Å, with angles of 90.00, 90.00 and 90.00 degrees. The distinct sites, in fractional coordinates, are Ca at (0.000, 0.000, 0.000), Pm at (0.000, 0.500, 0.250), Pr at (0.000, 0.000, 0.500), As at (0.000, 0.000, 0.252) and As at (0.000, 0.500, 0.000).

As for the calculated formation energy: -1042.3 kJ/mol of formula units.

***

Record 2
DySiRh: optimized geometry, PBE-GGA.

The space group is C2/m (No. 12) and the conventional cell measures 10.191, 4.140 and 6.901 Å, with angles of 90.00, 130.19 and 90.00 degrees. The distinct sites, in fractional coordinates, are Dy at (0.061, 0.000, 0.296), Si at (0.154, 0.500, 0.710) and Rh at (0.195, 0.500, 0.103).

The uncorrected formation energy is -0.97 eV/atom.